This record from the Alexandria database describes a relaxed structure of Sr2ZnHPd. The functional is PBE-GGA.

The space group is P4/mmm (No. 123) and the conventional cell measures 5.526, 5.526 and 3.688 Å, with angles of 90.00, 90.00 and 90.00 degrees. The asymmetric unit holds Sr at (0.000, 0.500, 0.000), Zn at (0.000, 0.000, 0.500), H at (0.500, 0.500, 0.000) and Pd at (0.500, 0.500, 0.500).

The calculation puts the calculated total energy at -3.0182 eV per atom. The total moment is 0.00 μB per formula unit.